[1]
{
  "formula": "BaInPd3",
  "functional": "PBE-GGA",
  "state": "optimized geometry",
  "cell": [[-2.1801, 3.6011, 2.8984], [-4.5331, -1.0379, -2.1202], [-0.9053, -3.4751, 3.6367]],
  "species": ["Ba", "Pd", "Pd", "Pd", "In"],
  "fractional_positions": [[0.5000, 0.5000, 0.5000], [0.0000, 0.5000, 0.0000], [0.0000, 0.0000, 0.5000], [0.5000, 0.0000, 0.0000], [0.0000, 0.0000, 0.0000]],
  "m_tot_mub_per_fu": 0.00,
  "spacegroup": "No. 221",
  "formation_energy_ev_per_atom": -0.1705
}

---

[2]
{
  "formula": "NaBeSn",
  "functional": "PBE-GGA",
  "state": "optimized geometry",
  "cell": [[-3.4144, -0.4001, -1.6431], [1.8238, -3.4611, 0.0897], [-3.3058, -1.2814, 10.0231]],
  "species": ["Na", "Na", "Sn", "Sn", "Be", "Be"],
  "fractional_positions": [[0.4776, 0.8632, 0.8683], [0.8745, 0.3040, 0.5869], [0.1943, 0.8300, 0.3686], [0.9537, 0.5126, 0.0865], [0.6420, 0.9350, 0.1966], [0.5071, 0.4086, 0.2598]],
  "m_tot_mub_per_fu": 0.00,
  "spacegroup": "No. 1",
  "formation_energy_ev_per_atom": 0.1375
}

---

[3]
{
  "formula": "RbAc2Pb3Se6",
  "functional": "PBE-GGA",
  "state": "optimized geometry",
  "cell": [[-2.4564, -2.6110, 3.0103], [2.9174, -7.3433, -3.9887], [8.1335, 2.5283, 5.1901]],
  "species": ["Rb", "Ac", "Ac", "Pb", "Pb", "Pb", "Se", "Se", "Se", "Se", "Se", "Se"],
  "fractional_positions": [[0.5000, 0.0000, 0.0000], [0.8336, 0.6737, 0.6671], [0.1664, 0.3263, 0.3329], [0.5000, 0.5000, 0.0000], [0.8388, 0.1526, 0.6775], [0.1612, 0.8474, 0.3225], [0.3207, 0.9130, 0.6414], [0.6676, 0.5687, 0.3352], [0.6793, 0.0870, 0.3586], [0.0079, 0.2734, 0.0158], [0.9921, 0.7266, 0.9842], [0.3324, 0.4313, 0.6648]],
  "m_tot_mub_per_fu": 0.00,
  "spacegroup": "No. 12",
  "e_form_raw_mev_per_atom": -1139
}

---

[4]
{
  "formula": "Dy6Se11",
  "functional": "PBE-GGA",
  "state": "optimized geometry",
  "cell": [[-2.4087, 6.5622, 9.2289], [-2.4083, -9.3545, 6.4632], [11.5442, -0.5882, 3.4854]],
  "species": ["Dy", "Dy", "Dy", "Dy", "Dy", "Dy", "Dy", "Dy", "Dy", "Dy", "Dy", "Dy", "Dy", "Dy", "Dy", "Dy", "Dy", "Dy", "Dy", "Dy", "Dy", "Dy", "Dy", "Dy", "Se", "Se", "Se", "Se", "Se", "Se", "Se", "Se", "Se", "Se", "Se", "Se", "Se", "Se", "Se", "Se", "Se", "Se", "Se", "Se", "Se", "Se", "Se", "Se", "Se", "Se", "Se", "Se", "Se", "Se", "Se", "Se", "Se", "Se", "Se", "Se", "Se", "Se", "Se", "Se", "Se", "Se", "Se", "Se"],
  "fractional_positions": [[0.0071, 0.7508, 0.4985], [0.1387, 0.1399, 0.3330], [0.1391, 0.1371, 0.6634], [0.1546, 0.1559, 0.0006], [0.2397, 0.4866, 0.5003], [0.2458, 0.5029, 0.1698], [0.2555, 0.5002, 0.8289], [0.3877, 0.8797, 0.6673], [0.3845, 0.8804, 0.3311], [0.3869, 0.8934, 0.0009], [0.4828, 0.2240, 0.4961], [0.4949, 0.2405, 0.8350], [0.5023, 0.2477, 0.1721], [0.6257, 0.6275, 0.9990], [0.6532, 0.6586, 0.6716], [0.6463, 0.6452, 0.3355], [0.7490, 0.0080, 0.4991], [0.7397, 0.9868, 0.1631], [0.7401, 0.9918, 0.8367], [0.8945, 0.3910, 0.6685], [0.8791, 0.3844, 0.3374], [0.8917, 0.3868, 0.0005], [0.9913, 0.7391, 0.8373], [0.9856, 0.7369, 0.1625], [0.0035, 0.0066, 0.4952], [0.0594, 0.3112, 0.4997], [0.0663, 0.3146, 0.1671], [0.0707, 0.3140, 0.8329], [0.0697, 0.5679, 0.9993], [0.0740, 0.5697, 0.6676], [0.0663, 0.5672, 0.3341], [0.0660, 0.9185, 0.9993], [0.1213, 0.8860, 0.3039], [0.1267, 0.8831, 0.6899], [0.2459, 0.7658, 0.8382], [0.2369, 0.7724, 0.1596], [0.2702, 0.7370, 0.5009], [0.3083, 0.0521, 0.4987], [0.3147, 0.0685, 0.1664], [0.3115, 0.0653, 0.8339], [0.3184, 0.3172, 0.3352], [0.3240, 0.3147, 0.6625], [0.3294, 0.3294, 0.0011], [0.3690, 0.6400, 0.9963], [0.4091, 0.5990, 0.6506], [0.3903, 0.6170, 0.3489], [0.5241, 0.4875, 0.7943], [0.5048, 0.5027, 0.1887], [0.5664, 0.0668, 0.6687], [0.5682, 0.0650, 0.3317], [0.5694, 0.0689, 0.0014], [0.5605, 0.8137, 0.8352], [0.5593, 0.8104, 0.1667], [0.5702, 0.8177, 0.5004], [0.6182, 0.3907, 0.3731], [0.6356, 0.3720, 0.9958], [0.7248, 0.2807, 0.5233], [0.7604, 0.2512, 0.8297], [0.7663, 0.2419, 0.1639], [0.8146, 0.5604, 0.8327], [0.8100, 0.5569, 0.1683], [0.8041, 0.8039, 0.9997], [0.8152, 0.5691, 0.5056], [0.8286, 0.8303, 0.6699], [0.8231, 0.8233, 0.3320], [0.8792, 0.1316, 0.6856], [0.8809, 0.1268, 0.3111], [0.9133, 0.0714, 0.9989]],
  "m_tot_mub_per_fu": 0.00,
  "spacegroup": "No. 1",
  "e_form_raw_mev_per_atom": -1675
}

---

| no. | mass density (Mg/m³) |
| --- | --- |
| 1 | 7.1 |
| 2 | 3.4 |
| 3 | 6.9 |
| 4 | 7.5 |